Below is crystalline NdPa3S4 at its relaxed geometry, with properties calculated at the GGA-PBE level.

Raw formation energy: -1.680 eV per atom
Calculated volume: 171.93 Å³ per cell
Spin magnetization: 0.0 μB/cell
Theoretical density: 9.3 g/cm³
Space-group type: No. 65
Electronic total energy: -7.90 eV/atom

a = 6.896 Å, b = 6.896 Å, c = 3.796 Å
α = 90.00°, β = 90.00°, γ = 107.70°
Fractional positions:
Nd: 0.000 0.000 0.000
Pa: 0.000 0.500 0.500
Pa: 0.500 0.000 0.500
Pa: 0.500 0.500 0.000
S: 0.252 0.748 0.000
S: 0.255 0.255 0.500
S: 0.745 0.745 0.500
S: 0.748 0.252 0.000



Below is crystalline NdPaS at its relaxed geometry, with properties calculated at the GGA-PBE level.

Raw formation energy: -0.893 eV per atom
Calculated volume: 154.17 Å³ per cell
Spin magnetization: 0.0 μB/cell
Theoretical density: 8.8 g/cm³
Space-group type: No. 12
Electronic total energy: -7.02 eV/atom

a = 6.203 Å, b = 6.203 Å, c = 5.589 Å
α = 113.65°, β = 113.65°, γ = 53.34°
Fractional positions:
Nd: 0.143 0.143 0.392
Nd: 0.857 0.857 0.608
Pa: 0.418 0.418 0.130
Pa: 0.582 0.582 0.870
S: 0.139 0.139 0.889
S: 0.861 0.861 0.111



Below is crystalline Nd2PaS6 at its relaxed geometry, with properties calculated at the GGA-PBE level.

Raw formation energy: -1.572 eV per atom
Calculated volume: 529.08 Å³ per cell
Spin magnetization: 0.0 μB/cell
Theoretical density: 4.5 g/cm³
Space-group type: No. 136
Electronic total energy: -6.44 eV/atom

a = 6.480 Å, b = 6.480 Å, c = 12.601 Å
α = 90.00°, β = 90.00°, γ = 90.00°
Fractional positions:
Nd: 0.000 0.000 0.168
Nd: 0.000 0.000 0.832
Nd: 0.500 0.500 0.332
Nd: 0.500 0.500 0.668
Pa: 0.000 0.000 0.500
Pa: 0.500 0.500 0.000
S: 0.191 0.191 0.344
S: 0.191 0.191 0.656
S: 0.210 0.210 0.000
S: 0.290 0.710 0.500
S: 0.309 0.691 0.156
S: 0.309 0.691 0.844
S: 0.691 0.309 0.156
S: 0.691 0.309 0.844
S: 0.710 0.290 0.500
S: 0.790 0.790 0.000
S: 0.809 0.809 0.344
S: 0.809 0.809 0.656



Below is crystalline Nd5Pa3S8 at its relaxed geometry, with properties calculated at the GGA-PBE level.

Raw formation energy: -1.833 eV per atom
Calculated volume: 362.49 Å³ per cell
Spin magnetization: 1.9 μB/cell
Theoretical density: 7.7 g/cm³
Space-group type: No. 166
Electronic total energy: -7.17 eV/atom

a = 8.032 Å, b = 8.032 Å, c = 8.032 Å
α = 59.54°, β = 59.54°, γ = 59.54°
Fractional positions:
Nd: 0.000 0.000 0.000
Nd: 0.000 0.500 0.500
Nd: 0.500 0.000 0.500
Nd: 0.500 0.500 0.000
Nd: 0.500 0.500 0.500
Pa: 0.000 0.000 0.500
Pa: 0.000 0.500 0.000
Pa: 0.500 0.000 0.000
S: 0.242 0.750 0.750
S: 0.246 0.246 0.246
S: 0.250 0.250 0.758
S: 0.250 0.758 0.250
S: 0.750 0.242 0.750
S: 0.750 0.750 0.242
S: 0.754 0.754 0.754
S: 0.758 0.250 0.250